1.
Entry from Alexandria: crystalline SrP2PdS at its relaxed geometry (PBE).

The structure in extended XYZ format:
```
5
Lattice="-3.607 3.826 -1.553 -3.395 -1.574 4.007 2.293 3.509 3.321" Properties=species:S:1:pos:R:3 pbc="T T T"
P -1.803 1.913 -0.776
Sr 0.000 0.000 0.000
S 1.147 1.755 1.661
Pd -2.354 2.881 2.888
P -1.697 -0.787 2.003
```

Properties
ΔE_f (raw) = 1334 meV per atom
Space-group type = P4/mmm
Crystal system = tetragonal
Density of states at the Fermi level = 8.5 states/eV per cell

2.
Entry from Alexandria: crystalline SnSbAs at its relaxed geometry (PBE).

The structure in extended XYZ format:
```
12
Lattice="7.270 0.000 0.000 0.000 7.100 -0.050 0.000 -2.012 6.836" Properties=species:S:1:pos:R:3 pbc="T T T"
Sb 0.850 -0.483 5.676
Sn 3.790 0.280 5.027
Sb 4.485 2.021 1.134
As 6.468 1.122 4.449
Sn 3.479 4.807 1.758
Sn 0.156 1.257 1.783
Sb 6.419 5.571 1.109
Sb 2.785 3.067 5.651
Sn 7.114 3.831 5.002
As 2.833 0.416 2.362
As 0.802 3.966 2.337
As 4.437 4.672 4.423
```

Properties
ΔE_f (raw) = 75 meV per atom
Space-group type = P2_1/c
Crystal system = monoclinic
Density of states at the Fermi level = 6.9 states/eV per cell

3.
Entry from Alexandria: crystalline KCrSi2 at its relaxed geometry (PBE).

The structure in extended XYZ format:
```
4
Lattice="4.305 -0.049 0.038 3.096 2.992 0.038 1.264 0.503 6.704" Properties=species:S:1:pos:R:3 pbc="T T T"
Si 1.291 0.513 5.837
Cr 6.499 2.584 5.085
Si 4.306 1.712 4.256
K 2.166 0.861 1.695
```

Properties
ΔE_f (raw) = 155 meV per atom
Space-group type = C2/m
Crystal system = monoclinic
Density of states at the Fermi level = 1.5 states/eV per cell

Look up the ΔE_f (raw) of the second one.
75 meV per atom